The following is a PBE calculation of a relaxed HoMgZnAu crystal, from the Alexandria database.

Computed properties:
The value obtained for the spin magnetization is 0.00 μB per formula unit. The value obtained for the energy of formation from the pure elements is -0.57 eV/atom.

a = 4.850 Å, b = 4.850 Å, c = 4.850 Å
α = 60.00°, β = 60.00°, γ = 60.00°
Element x y z (fractional)
Au  0.500  0.500  0.500
Zn  0.000  0.000  0.000
Mg  0.250  0.250  0.250
Ho  0.750  0.750  0.750

The following is a PBE calculation of a relaxed Ho2MnAu crystal, from the Alexandria database.

Computed properties:
The value obtained for the spin magnetization is 3.39 μB per formula unit. The value obtained for the energy of formation from the pure elements is -0.34 eV/atom.

a = 3.558 Å, b = 3.558 Å, c = 7.088 Å
α = 90.00°, β = 90.00°, γ = 90.00°
Element x y z (fractional)
Ho  0.000  0.000  0.246
Ho  0.000  0.000  0.754
Au  0.500  0.500  0.500
Mn  0.500  0.500  0.000